1.
Density functional theory data (GGA-PBE) for crystalline LaW2Au at its relaxed geometry.

Computed properties:
Volume   79 Å³/cell
Energy relative to the lowest polymorph listed for this composition   0.149 eV per atom
SG   No. 35
E_form   362 meV/atom

Lattice parameters (Å, degrees): 2.9460 2.9460 9.8049 90.00 90.00 111.95
Positions (direct):
Au: 0.0000 0.0000 0.4725
La: 0.5000 0.5000 0.7564
W: 0.0000 0.0000 0.0339
W: 0.5000 0.5000 0.2372

2.
Density functional theory data (GGA-PBE) for crystalline LaW2Au at its relaxed geometry.

Computed properties:
Volume   78 Å³/cell
Energy relative to the lowest polymorph listed for this composition   0.456 eV per atom
SG   No. 123
E_form   668 meV/atom

Lattice parameters (Å, degrees): 2.8419 2.8419 9.6207 90.00 90.00 90.01
Positions (direct):
Au: 0.5000 0.5000 0.2500
La: 0.5000 0.5000 0.7500
W: 0.0000 0.0000 0.0300
W: 0.0000 0.0000 0.4700

3.
Density functional theory data (GGA-PBE) for crystalline LaW2Au at its relaxed geometry.

Computed properties:
Volume   85 Å³/cell
Energy relative to the lowest polymorph listed for this composition   0.345 eV per atom
SG   No. 8
E_form   557 meV/atom

Lattice parameters (Å, degrees): 4.6298 4.6298 6.8370 85.57 85.57 35.64
Positions (direct):
Au: 0.4943 0.4943 0.5511
La: 0.2462 0.2462 0.2354
W: 0.0021 0.0021 0.9429
W: 0.7575 0.7575 0.7706

4.
Density functional theory data (GGA-PBE) for crystalline LaW2Au at its relaxed geometry.

Computed properties:
Volume   84 Å³/cell
Energy relative to the lowest polymorph listed for this composition   0.339 eV per atom
SG   No. 44
E_form   552 meV/atom

Lattice parameters (Å, degrees): 5.7066 5.7066 5.7066 144.86 127.68 64.59
Positions (direct):
Au: 0.5178 0.5178 0.0000
La: 0.2379 0.7379 0.5000
W: 0.9666 0.9666 0.0000
W: 0.7777 0.2777 0.5000

5.
Density functional theory data (GGA-PBE) for crystalline LaW2Au at its relaxed geometry.

Computed properties:
Volume   76 Å³/cell
Energy relative to the lowest polymorph listed for this composition   0.770 eV per atom
SG   No. 225
E_form   983 meV/atom

Lattice parameters (Å, degrees): 4.7463 4.7463 4.7463 60.00 60.00 60.00
Positions (direct):
Au: 0.5000 0.5000 0.5000
W: 0.2500 0.2500 0.2500
W: 0.7500 0.7500 0.7500
La: 0.0000 0.0000 0.0000

6.
Density functional theory data (GGA-PBE) for crystalline LaW2Au at its relaxed geometry.

Computed properties:
Volume   81 Å³/cell
Energy relative to the lowest polymorph listed for this composition   0.419 eV per atom
SG   No. 47
E_form   631 meV/atom

Lattice parameters (Å, degrees): 3.2588 4.8229 5.1274 90.00 90.00 90.00
Positions (direct):
Au: 0.5000 0.0000 0.5000
La: 0.0000 0.5000 0.5000
W: 0.0000 0.0000 0.0000
W: 0.5000 0.5000 0.0000

7.
Density functional theory data (GGA-PBE) for crystalline LaW2Au at its relaxed geometry.

Computed properties:
Volume   82 Å³/cell
Energy relative to the lowest polymorph listed for this composition   0.576 eV per atom
SG   No. 139
E_form   789 meV/atom

Lattice parameters (Å, degrees): 5.6518 5.6518 5.6518 137.20 137.20 62.13
Positions (direct):
Au: 0.2500 0.7500 0.5000
La: 0.7500 0.2500 0.5000
W: 0.0000 0.0000 0.0000
W: 0.5000 0.5000 0.0000

8.
Density functional theory data (GGA-PBE) for crystalline LaW3Au at its relaxed geometry.

Computed properties:
Volume   123 Å³/cell
Energy relative to the lowest polymorph listed for this composition   0.000 eV per atom
SG   No. 221
E_form   2094 meV/atom

Lattice parameters (Å, degrees): 4.9677 4.9677 4.9677 90.00 90.00 90.00
Positions (direct):
Au: 0.0000 0.0000 0.0000
W: 0.0000 0.5000 0.0000
W: 0.0000 0.0000 0.5000
W: 0.5000 0.0000 0.0000
La: 0.5000 0.5000 0.5000

9.
Density functional theory data (GGA-PBE) for crystalline LaW2Au at its relaxed geometry.

Computed properties:
Volume   84 Å³/cell
Energy relative to the lowest polymorph listed for this composition   0.000 eV per atom
SG   No. 6
E_form   213 meV/atom

Lattice parameters (Å, degrees): 3.2797 3.2805 8.4212 67.18 90.00 90.00
Positions (direct):
Au: 0.0000 0.5435 0.4567
La: 0.5000 0.7386 0.7607
W: 0.0000 0.9398 0.0600
W: 0.5000 0.2781 0.2225

10.
Density functional theory data (GGA-PBE) for crystalline LaW2Au at its relaxed geometry.

Computed properties:
Volume   81 Å³/cell
Energy relative to the lowest polymorph listed for this composition   0.367 eV per atom
SG   No. 12
E_form   580 meV/atom

Lattice parameters (Å, degrees): 5.8474 5.8474 5.2082 73.23 73.23 28.41
Positions (direct):
Au: 0.7500 0.7500 0.7500
La: 0.2500 0.2500 0.2500
W: 0.0240 0.0240 0.9746
W: 0.4760 0.4760 0.5254

11.
Density functional theory data (GGA-PBE) for crystalline La2YWAu at its relaxed geometry.

Computed properties:
Volume   164 Å³/cell
SG   No. 123
E_form   378 meV/atom

Lattice parameters (Å, degrees): 5.4948 5.4413 5.4948 90.00 90.00 90.00
Positions (direct):
Y: 0.0000 0.5000 0.0000
Au: 0.5000 0.5000 0.5000
W: 0.0000 0.0000 0.0000
La: 0.0000 0.0000 0.5000
La: 0.5000 0.0000 0.0000

12.
Density functional theory data (GGA-PBE) for crystalline La2YAu2 at its relaxed geometry.

Computed properties:
Volume   155 Å³/cell
Energy relative to the lowest polymorph listed for this composition   0.312 eV per atom
SG   No. 139
E_form   -359 meV/atom

Lattice parameters (Å, degrees): 5.1316 5.1316 6.9263 68.26 68.26 90.00
Positions (direct):
Y: 0.0000 0.0000 0.0000
Au: 0.3874 0.3874 0.2251
Au: 0.6126 0.6126 0.7749
La: 0.7500 0.2500 0.5000
La: 0.2500 0.7500 0.5000

13.
Density functional theory data (GGA-PBE) for crystalline La2YAu at its relaxed geometry.

Computed properties:
Volume   119 Å³/cell
Energy relative to the lowest polymorph listed for this composition   0.258 eV per atom
SG   No. 225
E_form   -135 meV/atom

Lattice parameters (Å, degrees): 5.5142 5.5142 5.5142 60.00 60.00 60.00
Positions (direct):
Y: 0.0000 0.0000 0.0000
Au: 0.5000 0.5000 0.5000
La: 0.2500 0.2500 0.2500
La: 0.7500 0.7500 0.7500

14.
Density functional theory data (GGA-PBE) for crystalline LaYAu2 at its relaxed geometry.

Computed properties:
Volume   112 Å³/cell
SG   No. 160
E_form   -508 meV/atom

Lattice parameters (Å, degrees): 6.2529 6.2529 6.2529 45.27 45.27 45.27
Positions (direct):
Au: 0.9249 0.9249 0.9249
Au: 0.3337 0.3337 0.3337
La: 0.5235 0.5235 0.5235
Y: 0.7179 0.7179 0.7179

15.
Density functional theory data (GGA-PBE) for crystalline LaY2Au3 at its relaxed geometry.

Computed properties:
Volume   147 Å³/cell
SG   No. 123
E_form   -835 meV/atom

Lattice parameters (Å, degrees): 3.6299 3.6299 11.1781 90.00 90.00 90.00
Positions (direct):
La: 0.5000 0.5000 0.5000
Y: 0.5000 0.5000 0.8386
Y: 0.5000 0.5000 0.1614
Au: 0.0000 0.0000 0.0000
Au: 0.0000 0.0000 0.6865
Au: 0.0000 0.0000 0.3135

16.
Density functional theory data (GGA-PBE) for crystalline LaY2Au at its relaxed geometry.

Computed properties:
Volume   253 Å³/cell
Energy relative to the lowest polymorph listed for this composition   0.180 eV per atom
SG   No. 122
E_form   -254 meV/atom

Lattice parameters (Å, degrees): 8.7639 8.7639 7.0173 51.36 51.36 90.00
Positions (direct):
Y: 0.6885 0.1250 0.2500
Y: 0.0615 0.6250 0.2500
Y: 0.3750 0.3115 0.7500
Y: 0.8750 0.9385 0.7500
Au: 0.0000 0.0000 0.0000
Au: 0.7500 0.2500 0.5000
La: 0.5000 0.5000 0.0000
La: 0.2500 0.7500 0.5000

17.
Density functional theory data (GGA-PBE) for crystalline La2Y2Au at its relaxed geometry.

Computed properties:
Volume   327 Å³/cell
SG   No. 127
E_form   -169 meV/atom

Lattice parameters (Å, degrees): 7.6235 7.6235 5.6236 90.00 90.00 90.00
Positions (direct):
Y: 0.3462 0.8462 0.0000
Y: 0.8462 0.6538 0.0000
Y: 0.6538 0.1538 0.0000
Y: 0.1538 0.3462 0.0000
Au: 0.0000 0.0000 0.0000
Au: 0.5000 0.5000 0.0000
La: 0.1578 0.6578 0.5000
La: 0.6578 0.8422 0.5000
La: 0.8422 0.3422 0.5000
La: 0.3422 0.1578 0.5000

18.
Density functional theory data (GGA-PBE) for crystalline La2YAu at its relaxed geometry.

Computed properties:
Volume   116 Å³/cell
Energy relative to the lowest polymorph listed for this composition   0.186 eV per atom
SG   No. 119
E_form   -206 meV/atom

Lattice parameters (Å, degrees): 6.2078 6.2078 6.2078 135.45 135.45 64.83
Positions (direct):
Au: 0.7500 0.2500 0.5000
La: 0.0000 0.0000 0.0000
La: 0.2500 0.7500 0.5000
Y: 0.5000 0.5000 0.0000

19.
Density functional theory data (GGA-PBE) for crystalline La2YAu at its relaxed geometry.

Computed properties:
Volume   125 Å³/cell
Energy relative to the lowest polymorph listed for this composition   0.043 eV per atom
SG   No. 123
E_form   -350 meV/atom

Lattice parameters (Å, degrees): 3.8311 3.8311 8.5212 90.00 90.00 90.00
Positions (direct):
Au: 0.5000 0.5000 0.7500
La: 0.0000 0.0000 0.9613
La: 0.0000 0.0000 0.5387
Y: 0.5000 0.5000 0.2500

20.
Density functional theory data (GGA-PBE) for crystalline LaY2Au at its relaxed geometry.

Computed properties:
Volume   110 Å³/cell
Energy relative to the lowest polymorph listed for this composition   0.222 eV per atom
SG   No. 119
E_form   -212 meV/atom

Lattice parameters (Å, degrees): 6.0584 6.0584 6.0584 134.75 134.75 65.93
Positions (direct):
Au: 0.5000 0.5000 0.0000
La: 0.7500 0.2500 0.5000
Y: 0.0000 0.0000 0.0000
Y: 0.2500 0.7500 0.5000

21.
Density functional theory data (GGA-PBE) for crystalline LaY2Au at its relaxed geometry.

Computed properties:
Volume   113 Å³/cell
Energy relative to the lowest polymorph listed for this composition   0.260 eV per atom
SG   No. 139
E_form   -173 meV/atom

Lattice parameters (Å, degrees): 6.2056 6.2056 6.2056 136.19 136.19 63.68
Positions (direct):
Au: 0.2500 0.7500 0.5000
La: 0.7500 0.2500 0.5000
Y: 0.0000 0.0000 0.0000
Y: 0.5000 0.5000 0.0000

22.
Density functional theory data (GGA-PBE) for crystalline LaY2Au at its relaxed geometry.

Computed properties:
Volume   113 Å³/cell
Energy relative to the lowest polymorph listed for this composition   0.208 eV per atom
SG   No. 10
E_form   -225 meV/atom

Lattice parameters (Å, degrees): 3.7840 5.5542 7.7361 43.97 90.00 90.00
Positions (direct):
Au: 0.5000 0.5000 0.5000
La: 0.0000 0.0000 0.5000
Y: 0.0000 0.0000 0.0000
Y: 0.5000 0.5000 0.0000

23.
Density functional theory data (GGA-PBE) for crystalline La3YAu4 at its relaxed geometry.

Computed properties:
Volume   208 Å³/cell
SG   No. 123
E_form   -796 meV/atom

Lattice parameters (Å, degrees): 3.7157 3.7157 15.1005 90.00 90.00 90.00
Positions (direct):
Y: 0.5000 0.5000 0.0000
Au: 0.0000 0.0000 0.8894
Au: 0.0000 0.0000 0.1106
Au: 0.0000 0.0000 0.3732
Au: 0.0000 0.0000 0.6268
La: 0.5000 0.5000 0.2451
La: 0.5000 0.5000 0.5000
La: 0.5000 0.5000 0.7549

24.
Density functional theory data (GGA-PBE) for crystalline La2YAu at its relaxed geometry.

Computed properties:
Volume   122 Å³/cell
Energy relative to the lowest polymorph listed for this composition   0.065 eV per atom
SG   No. 71
E_form   -328 meV/atom

Lattice parameters (Å, degrees): 6.8346 6.8346 5.3723 66.83 66.83 32.32
Positions (direct):
Au: 0.7500 0.7500 0.7500
La: 0.0420 0.0420 0.9579
La: 0.4580 0.4580 0.5421
Y: 0.2500 0.2500 0.2500

25.
Density functional theory data (GGA-PBE) for crystalline LaY2Au at its relaxed geometry.

Computed properties:
Volume   126 Å³/cell
Energy relative to the lowest polymorph listed for this composition   0.140 eV per atom
SG   No. 160
E_form   -294 meV/atom

Lattice parameters (Å, degrees): 3.8226 3.8226 10.1995 79.20 79.20 60.00
Positions (direct):
La: 0.5018 0.5018 0.4947
Y: 0.0655 0.0655 0.8036
Y: 0.2671 0.2671 0.1987
Au: 0.6657 0.6657 0.0030

26.
Density functional theory data (GGA-PBE) for crystalline LaY4Au at its relaxed geometry.

Computed properties:
Volume   188 Å³/cell
SG   No. 216
E_form   300 meV/atom

Lattice parameters (Å, degrees): 6.4248 6.4248 6.4248 60.00 60.00 60.00
Positions (direct):
La: 0.0000 0.0000 0.0000
Y: 0.8748 0.3751 0.3751
Y: 0.3751 0.3751 0.8748
Y: 0.3751 0.8748 0.3751
Y: 0.3751 0.3751 0.3751
Au: 0.7500 0.7500 0.7500

27.
Density functional theory data (GGA-PBE) for crystalline LaYAu2 at its relaxed geometry.

Computed properties:
Volume   101 Å³/cell
SG   No. 44
E_form   -625 meV/atom

Lattice parameters (Å, degrees): 6.3538 6.3538 6.3538 145.29 135.87 57.33
Positions (direct):
Au: 0.0185 0.0185 0.0000
Au: 0.2246 0.7246 0.5000
La: 0.4874 0.4874 0.0000
Y: 0.7696 0.2696 0.5000

28.
Density functional theory data (GGA-PBE) for crystalline La2YAu2 at its relaxed geometry.

Computed properties:
Volume   284 Å³/cell
Energy relative to the lowest polymorph listed for this composition   0.000 eV per atom
SG   No. 127
E_form   -671 meV/atom

Lattice parameters (Å, degrees): 8.4263 8.4263 3.9995 90.00 90.00 90.00
Positions (direct):
Y: 0.0000 0.0000 0.0000
Y: 0.5000 0.5000 0.0000
Au: 0.3686 0.8686 0.0000
Au: 0.8686 0.6314 0.0000
Au: 0.6314 0.1314 0.0000
Au: 0.1314 0.3686 0.0000
La: 0.1668 0.6668 0.5000
La: 0.6668 0.8332 0.5000
La: 0.8332 0.3332 0.5000
La: 0.3332 0.1668 0.5000